First-principles (PBE) data for NaLiEuCd after structural relaxation, as listed in the Alexandria database.

a b c (Å): 5.4916 5.4916 5.4916
angles (deg): 60.00 60.00 60.00
With the nearest neighbours (Å) after each atom.
Fractional coordinates of all 4 atoms:
1 Cd 0.7500 0.7500 0.7500  4 Na 3.36, 4 Eu 3.36
2 Eu 0.5000 0.5000 0.5000  4 Li 3.36, 4 Cd 3.36
3 Li 0.2500 0.2500 0.2500  4 Na 3.36, 4 Eu 3.36
4 Na 0.0000 0.0000 0.0000  4 Cd 3.36, 4 Li 3.36

Calculated values
Total magnetic moment ... 7.51 μB per formula unit
Energy relative to the elements ... -0.05 eV per atom
E ... -3.66 eV/atom
Symmetry ... F-43m

=====

First-principles (PBE) data for Rb4Te2O after structural relaxation, as listed in the Alexandria database.

a b c (Å): 5.5517 5.5517 10.1668
angles (deg): 74.16 74.16 90.00
With the nearest neighbours (Å) after each atom.
Fractional coordinates of all 7 atoms:
1 Rb 0.5000 0.0000 0.0000  2 O 2.78
2 Te 0.6376 0.6376 0.7247  9 Rb 3.75-3.95
3 Rb 0.0000 0.5000 0.0000  2 O 2.78
4 Te 0.3624 0.3624 0.2753  9 Rb 3.75-3.95
5 O 0.0000 0.0000 0.0000  6 Rb 2.78-3.05
6 Rb 0.1625 0.1625 0.6751  1 O 3.05
7 Rb 0.8375 0.8375 0.3249  1 O 3.05

Calculated values
Total magnetic moment ... 2.08 μB per formula unit
E ... -2.93 eV/atom
Symmetry ... I4/mmm
Formation energy without anion corrections ... -0.766 eV per atom

=====

First-principles (PBE) data for Sm2HoZn after structural relaxation, as listed in the Alexandria database.

a b c (Å): 3.6225 3.6225 8.6521
angles (deg): 90.00 90.00 90.00
With the nearest neighbours (Å) after each atom.
Fractional coordinates of all 4 atoms:
1 Sm 0.0000 0.0000 0.2108  4 Zn 3.14
2 Ho 0.5000 0.5000 0.5000  8 Sm 3.58, 4 Ho 3.62
3 Sm 0.0000 0.0000 0.7892  4 Zn 3.14
4 Zn 0.5000 0.5000 0.0000  8 Sm 3.14

Calculated values
Total magnetic moment ... 0.00 μB per formula unit
Energy relative to the elements ... -0.15 eV per atom
E ... -3.97 eV/atom
Symmetry ... P4/mmm
Excess energy over the best structure of this formula in the dataset ... 10.0 meV/atom